Entry 1:
LaGa2Au2 | SCAN | single point on PBEsol structure

The structure belongs to space group I4/mmm (No. 139); the cell edges are 4.367, 4.367 and 10.751 Å and the angles 90.00°, 90.00° and 90.00°. Symmetry generates all atoms from La at (0.000, 0.000, 0.000), Ga at (0.000, 0.500, 0.250) and Au at (0.000, 0.000, 0.375).

Its final energy is -43.6934 eV per atom. The value obtained for the density of states at the Fermi level is 4.19 states/eV per cell.



Entry 2:
Sc3SiTc | SCAN | single point on PBEsol structure

The structure belongs to space group Pm-3m (No. 221); the cell edges are 4.858, 4.858 and 4.858 Å and the angles 90.00°, 90.00° and 90.00°. Symmetry generates all atoms from Sc at (0.000, 0.000, 0.500), Si at (0.000, 0.000, 0.000) and Tc at (0.500, 0.500, 0.500).

The uncorrected formation energy is 0.518 eV per atom. Its final energy is -17.0393 eV per atom. The value obtained for the density of states at the Fermi level is 6.94 states/eV per cell. The value obtained for the offset from the most stable computed form is 290.9 meV/atom.



Entry 3:
YTaP2W | SCAN | single point on PBEsol structure

The structure belongs to space group P4/mmm (No. 123); the cell edges are 4.570, 4.570 and 5.321 Å and the angles 90.00°, 90.00° and 90.00°. Symmetry generates all atoms from Y at (0.000, 0.000, 0.000), Ta at (0.500, 0.500, 0.000), P at (0.000, 0.500, 0.500) and W at (0.000, 0.000, 0.500).

Its final energy is -35.8593 eV per atom. The value obtained for the density of states at the Fermi level is 4.36 states/eV per cell.



Entry 4:
PbBr2 | SCAN | single point on PBEsol structure

The structure belongs to space group Fm-3m (No. 225); the cell edges are 7.258, 7.258 and 7.258 Å and the angles 90.00°, 90.00° and 90.00°. Symmetry generates all atoms from Pb at (0.000, 0.000, 0.000) and Br at (0.250, 0.250, 0.250).

The uncorrected formation energy is -0.907 eV per atom. Its final energy is -39.1403 eV per atom. The value obtained for the density of states at the Fermi level is 0.00 states/eV per cell.



Entry 5:
NiSn3Pt | SCAN | single point on PBEsol structure

The structure belongs to space group Pm-3m (No. 221); the cell edges are 4.782, 4.782 and 4.782 Å and the angles 90.00°, 90.00° and 90.00°. Symmetry generates all atoms from Ni at (0.000, 0.000, 0.000), Sn at (0.000, 0.000, 0.500) and Pt at (0.500, 0.500, 0.500).

Its final energy is -38.5180 eV per atom. The value obtained for the density of states at the Fermi level is 2.68 states/eV per cell. The value obtained for the offset from the most stable computed form is 0.0 meV/atom.



Entry 6:
TaTiMnBe2 | SCAN | single point on PBEsol structure

The structure belongs to space group P4/mmm (No. 123); the cell edges are 4.372, 4.372 and 4.458 Å and the angles 90.00°, 90.00° and 90.00°. Symmetry generates all atoms from Ta at (0.000, 0.000, 0.000), Ti at (0.000, 0.000, 0.500), Mn at (0.500, 0.500, 0.000) and Be at (0.000, 0.500, 0.500).

Its final energy is -20.5451 eV per atom. The value obtained for the density of states at the Fermi level is 2.51 states/eV per cell.